## one
First-principles (PBE-GGA) data for a geometry-optimized La3Be structure, as listed in Alexandria.

Cell and atoms, written as POSCAR:
```
La3Be
1.0
4.889 0.000 0.000
0.000 3.849 -0.008
0.000 1.641 6.207
Be La
1 3
direct
0.000 0.000 0.000
0.500 0.218 0.214
0.000 0.500 0.500
0.500 0.782 0.786
```

---

## two
First-principles (PBE-GGA) data for a geometry-optimized La3Be structure, as listed in Alexandria.

Cell and atoms, written as POSCAR:
```
La3Be
1.0
-1.510 -4.228 1.937
0.788 -2.240 -4.275
4.584 -1.007 1.373
La Be
3 1
direct
0.500 0.500 0.000
0.500 0.000 0.500
0.000 0.500 0.500
0.000 0.000 0.000
```

---

Pick the most stable structure from those above. Pick: one